Density functional theory data (PBE) for a geometry-optimized MgAg3Cl6 structure.

Summary:
The calculation puts the relative energy among the computed polymorphs at 0 meV/atom.

abc: 6.389 6.870 10.680
angles: 90.00 92.43 90.00
Fractional positions:
Ag 0.509 0.887 0.812
Cl 0.816 0.684 0.573
Cl 0.184 0.316 0.427
Cl 0.159 0.072 0.781
Cl 0.659 0.428 0.281
Mg 0.000 0.000 0.000
Cl 0.828 0.700 0.909
Ag 0.991 0.387 0.688
Cl 0.328 0.800 0.409
Cl 0.841 0.928 0.219
Ag 0.000 0.000 0.500
Cl 0.341 0.572 0.719
Cl 0.684 0.184 0.927
Cl 0.316 0.816 0.073
Ag 0.500 0.500 0.000
Cl 0.172 0.300 0.091
Ag 0.491 0.113 0.188
Ag 0.009 0.613 0.312
Mg 0.500 0.500 0.500
Cl 0.672 0.200 0.591

Density functional theory data (PBE) for a geometry-optimized MgAgCl3 structure.

Summary:
The calculation puts the relative energy among the computed polymorphs at 1 meV/atom.

abc: 6.651 6.651 6.453
angles: 90.00 90.00 120.00
Fractional positions:
Cl 0.622 0.622 0.275
Cl 0.378 0.378 0.725
Ag 0.000 0.000 0.261
Mg 0.333 0.667 0.500
Cl 0.622 0.000 0.725
Cl 0.000 0.622 0.725
Cl 0.000 0.378 0.275
Cl 0.378 0.000 0.275
Ag 0.000 0.000 0.739
Mg 0.667 0.333 0.500

Density functional theory data (PBE) for a geometry-optimized MgAgCl structure.

Summary:
The calculation puts the relative energy among the computed polymorphs at 0 meV/atom.

abc: 3.492 3.492 6.266
angles: 90.00 90.00 120.00
Fractional positions:
Mg 0.333 0.667 0.647
Cl 0.667 0.333 0.401
Ag 0.000 0.000 0.952

Density functional theory data (PBE) for a geometry-optimized MgAgCl6 structure.

abc: 9.485 9.931 6.677
angles: 46.79 46.52 33.25
Fractional positions:
Cl 0.416 0.737 0.652
Cl 0.155 0.441 0.805
Cl 0.845 0.559 0.195
Cl 0.584 0.263 0.348
Mg 0.500 0.500 0.500
Ag 0.000 0.000 0.000
Cl 0.259 0.899 0.144
Cl 0.741 0.101 0.856

Which formation energy without anion corrections belongs to each record? In order, -8.06, -6.34, -2.05, -5.67 eV per formula unit.
Which size of the total moment belongs to each record? In order, 0.00, 0.00, 0.00, 0.00 μB/f.u..